Record 1
{"formula": "CaHgS2", "functional": "GGA-PBE", "state": "relaxed", "lattice": [[-2.9573, -15.7208, -0.9485], [5.5224, -3.4073, -4.5248], [6.9876, 1.1136, 3.5376]], "species": ["S", "S", "S", "S", "S", "S", "S", "S", "S", "S", "S", "S", "S", "S", "S", "S", "Hg", "Hg", "Hg", "Hg", "Hg", "Hg", "Hg", "Hg", "Ca", "Ca", "Ca", "Ca", "Ca", "Ca", "Ca", "Ca"], "fractional_positions": [[0.0191, 0.1892, 0.3405], [0.7631, 0.6409, 0.7438], [0.2500, 0.3000, 0.8000], [0.9876, 0.7858, 0.1787], [0.7369, 0.2438, 0.1409], [0.7500, 0.1820, 0.6820], [0.2631, 0.7562, 0.8591], [0.5124, 0.6787, 0.2858], [0.2369, 0.3591, 0.2562], [0.2500, 0.8180, 0.3180], [0.7500, 0.7000, 0.2000], [0.4809, 0.8405, 0.6892], [0.9809, 0.8108, 0.6595], [0.4876, 0.3213, 0.7142], [0.0124, 0.2142, 0.8213], [0.5191, 0.1595, 0.3108], [0.1165, 0.2439, 0.1158], [0.8835, 0.7561, 0.8842], [0.8680, 0.7986, 0.3717], [0.1320, 0.2014, 0.6283], [0.6320, 0.8717, 0.2986], [0.3680, 0.1283, 0.7014], [0.3835, 0.6158, 0.7439], [0.6165, 0.3842, 0.2561], [0.8830, 0.2161, 0.9899], [0.6170, 0.4899, 0.7161], [0.1338, 0.7511, 0.5249], [0.8662, 0.2489, 0.4751], [0.6338, 0.9751, 0.7489], [0.3830, 0.5101, 0.2839], [0.1170, 0.7839, 0.0101], [0.3662, 0.0249, 0.2511]], "magmom_total_mub_per_cell": 0.000, "crystal_system": "monoclinic", "raw_formation_energy_kj_per_mol_atoms": -100}

Record 2
{"formula": "CaHgS2", "functional": "GGA-PBE", "state": "relaxed", "lattice": [[7.6479, 0.0000, 0.0000], [0.0000, 8.8404, 0.0000], [0.0000, 0.0000, 6.8519]], "species": ["Ca", "Ca", "Ca", "Ca", "S", "S", "S", "S", "S", "S", "S", "S", "Hg", "Hg", "Hg", "Hg"], "fractional_positions": [[0.4000, 0.3778, 0.5097], [0.6000, 0.6222, 0.0097], [0.9000, 0.1222, 0.5097], [0.1000, 0.8778, 0.0097], [0.0895, 0.8703, 0.6089], [0.4105, 0.3703, 0.1089], [0.9387, 0.6192, 0.1258], [0.5613, 0.1192, 0.6258], [0.5895, 0.6297, 0.6089], [0.9105, 0.1297, 0.1089], [0.0613, 0.3808, 0.6258], [0.4387, 0.8808, 0.1258], [0.4187, 0.8710, 0.5054], [0.9187, 0.6290, 0.5054], [0.0813, 0.3710, 0.0054], [0.5813, 0.1290, 0.0054]], "magmom_total_mub_per_cell": 0.000, "crystal_system": "orthorhombic", "raw_formation_energy_kj_per_mol_atoms": -97}

Record 3
{"formula": "CaHgS2", "functional": "GGA-PBE", "state": "relaxed", "lattice": [[6.1352, 0.0000, 0.0000], [0.0000, 6.1352, 0.0000], [3.0676, 3.0676, 6.1793]], "species": ["S", "S", "S", "S", "Hg", "Hg", "Ca", "Ca"], "fractional_positions": [[0.1087, 0.6250, 0.2500], [0.3750, 0.3587, 0.7500], [0.8750, 0.8913, 0.7500], [0.6413, 0.1250, 0.2500], [0.0000, 0.0000, 0.0000], [0.7500, 0.2500, 0.5000], [0.2500, 0.7500, 0.5000], [0.5000, 0.5000, 0.0000]], "magmom_total_mub_per_cell": 0.000, "crystal_system": "tetragonal", "raw_formation_energy_kj_per_mol_atoms": -96}

Record 4
{"formula": "CaHgS2", "functional": "GGA-PBE", "state": "relaxed", "lattice": [[-5.4965, 4.0785, -7.0622], [4.0322, -7.3215, 5.1824], [-4.3742, 0.0013, 3.4051]], "species": ["S", "S", "S", "S", "Ca", "Ca", "Hg", "Hg"], "fractional_positions": [[0.7967, 0.2033, 0.7500], [0.2033, 0.7967, 0.2500], [0.9282, 0.0718, 0.2500], [0.0718, 0.9282, 0.7500], [0.0732, 0.9268, 0.2500], [0.9268, 0.0732, 0.7500], [0.6720, 0.3280, 0.7500], [0.3280, 0.6720, 0.2500]], "magmom_total_mub_per_cell": 0.000, "crystal_system": "orthorhombic", "raw_formation_energy_kj_per_mol_atoms": -59}

Record 5
{"formula": "Ca2HgS", "functional": "GGA-PBE", "state": "relaxed", "lattice": [[-2.6387, -2.9549, -0.1788], [0.2393, -3.0289, 2.5485], [-5.5168, 1.9101, 5.8737]], "species": ["Hg", "Ca", "Ca", "S"], "fractional_positions": [[0.5000, 0.5000, 0.5000], [0.2635, 0.2635, 0.2096], [0.7365, 0.7365, 0.7904], [0.0000, 0.0000, 0.0000]], "magmom_total_mub_per_cell": 0.506, "crystal_system": "trigonal", "raw_formation_energy_kj_per_mol_atoms": -115}

Record 6
{"formula": "CaHgS2", "functional": "GGA-PBE", "state": "relaxed", "lattice": [[2.0155, 3.2457, 1.6620], [-4.1407, 0.1247, -0.4444], [-0.7459, -2.7068, 6.1907]], "species": ["Hg", "Ca", "S", "S"], "fractional_positions": [[0.3333, 0.6667, 0.4344], [0.0000, 0.0000, 0.9814], [0.6667, 0.3333, 0.2467], [0.3333, 0.6667, 0.7925]], "magmom_total_mub_per_cell": 0.000, "crystal_system": "trigonal", "raw_formation_energy_kj_per_mol_atoms": -101}